A plane-wave DFT calculation with GGA-PBE was carried out for a relaxed structure of Mg7Zn3Se2.

Geometry as POSCAR:
```
Mg7Zn3Se2
1.0
-6.659 1.576 -5.782
-1.820 -1.393 -8.660
-5.817 -4.678 -4.954
Zn Mg Se
3 7 2
Cartesian
0.000 0.000 0.000
-2.117 -0.666 -2.873
-12.178 -3.829 -16.524
-7.148 -2.247 -9.698
-7.438 -1.920 -6.935
-5.400 -0.245 -8.825
-4.970 -3.434 -8.402
-6.858 -2.575 -12.462
-9.325 -1.061 -10.994
-8.896 -4.250 -10.572
-4.724 -1.485 -6.410
-9.571 -3.009 -12.986
```

Results
Density of states at the Fermi level: 6.235 states/eV per cell
Uncorrected energy: -22.5 eV/cell
Crystal system: trigonal

=====

A plane-wave DFT calculation with GGA-PBE was carried out for a relaxed structure of Mg2ZnSe.

Geometry as POSCAR:
```
Mg2ZnSe
1.0
3.801 0.000 0.000
0.000 3.800 0.000
0.000 0.000 6.049
Mg Se Zn
2 1 1
Cartesian
0.000 0.000 5.636
1.900 1.900 1.967
0.000 0.000 2.398
1.900 1.900 5.122
```

Results
Density of states at the Fermi level: 1.516 states/eV per cell
Uncorrected energy: -9.3 eV/cell
Polymorph energy (0 for the lowest one): 58.3 kJ/mol of formula units
Crystal system: tetragonal

=====

A plane-wave DFT calculation with GGA-PBE was carried out for a relaxed structure of MgZnSe.

Geometry as POSCAR:
```
MgZnSe
1.0
3.996 0.000 0.000
0.000 6.143 0.000
0.000 0.000 11.266
Zn Mg Se
4 4 4
Cartesian
0.000 3.852 7.037
0.000 0.780 4.229
0.000 0.771 9.861
0.000 3.843 1.405
1.998 5.043 4.250
1.998 1.971 7.016
1.998 1.963 1.383
1.998 5.035 9.883
1.998 5.467 1.428
1.998 2.396 9.838
1.998 2.404 4.206
1.998 5.476 7.060
```

Results
Density of states at the Fermi level: 1.413 states/eV per cell
Uncorrected energy: -30.2 eV/cell
Polymorph energy (0 for the lowest one): 61.8 kJ/mol of formula units
Crystal system: orthorhombic

=====

A plane-wave DFT calculation with GGA-PBE was carried out for a relaxed structure of Mg2ZnSe.

Geometry as POSCAR:
```
Mg2ZnSe
1.0
7.297 0.000 0.000
0.000 7.297 0.000
3.648 3.648 3.430
Zn Mg Se
2 4 2
Cartesian
3.648 3.648 0.000
3.648 7.297 1.715
5.623 1.824 0.858
1.674 5.473 0.858
5.473 5.322 2.573
9.121 9.271 2.573
0.000 0.000 0.000
7.297 3.648 1.715
```

Results
Density of states at the Fermi level: 0.667 states/eV per cell
Uncorrected energy: -18.5 eV/cell
Polymorph energy (0 for the lowest one): 63.7 kJ/mol of formula units
Crystal system: tetragonal

=====

no.,uncorrected formation energy (eV per formula unit)
1,-0.50
2,-1.34
3,-1.19
4,-1.28